A plane-wave DFT calculation with PBE-GGA was carried out for a relaxed structure of Tl2NiTe.

Summary:
Total magnetization in μB/atom: 0.069
Crystal system: monoclinic
Uncorrected formation energy in eV/atom: 0.3947
Calculated volume in Å³/atom: 25.94

abc: 6.029 6.029 3.300
angles: 90.04 90.04 120.14
Sites, in units of the cell vectors:
Tl: 0.000 0.500 0.000
Tl: 0.500 0.000 0.000
Ni: 0.000 0.000 0.500
Te: 0.500 0.500 0.500

=====

A plane-wave DFT calculation with PBE-GGA was carried out for a relaxed structure of K2BaNi2.

Summary:
Formation enthalpy at 0 K in eV per atom: 0.495
Total magnetization in μB/atom: 0.149
Crystal system: tetragonal
Calculated volume in Å³/atom: 32.84

abc: 7.990 7.990 7.990
angles: 145.34 145.34 49.82
Sites, in units of the cell vectors:
K: 0.250 0.750 0.500
K: 0.750 0.250 0.500
Ba: 0.000 0.000 0.000
Ni: 0.422 0.422 0.000
Ni: 0.578 0.578 0.000

=====

A plane-wave DFT calculation with PBE-GGA was carried out for a relaxed structure of Ac2TeI.

Summary:
Total magnetization in μB/atom: 0.000
Crystal system: cubic
Uncorrected formation energy in eV/atom: -1.1340
Calculated volume in Å³/atom: 33.94

abc: 5.769 5.769 5.769
angles: 60.00 60.00 60.00
Sites, in units of the cell vectors:
Ac: 0.250 0.250 0.250
Ac: 0.750 0.750 0.750
Te: 0.000 0.000 0.000
I: 0.500 0.500 0.500

=====

A plane-wave DFT calculation with PBE-GGA was carried out for a relaxed structure of P2OsS6.

Summary:
Total magnetization in μB/atom: 0.000
Crystal system: monoclinic
Uncorrected formation energy in eV/atom: -0.0041
Calculated volume in Å³/atom: 19.39

abc: 7.744 7.744 6.008
angles: 99.75 99.75 84.13
Sites, in units of the cell vectors:
P: 0.116 0.290 0.311
P: 0.290 0.116 0.811
P: 0.710 0.884 0.189
P: 0.884 0.710 0.689
Os: 0.398 0.602 0.750
Os: 0.602 0.398 0.250
S: 0.054 0.212 0.607
S: 0.118 0.636 0.876
S: 0.212 0.054 0.107
S: 0.316 0.482 0.357
S: 0.364 0.882 0.624
S: 0.482 0.316 0.857
S: 0.518 0.684 0.143
S: 0.636 0.118 0.376
S: 0.684 0.518 0.643
S: 0.788 0.946 0.893
S: 0.882 0.364 0.124
S: 0.946 0.788 0.393

=====

A plane-wave DFT calculation with PBE-GGA was carried out for a relaxed structure of YCr3Sn.

Summary:
Formation enthalpy at 0 K in eV per atom: 1.097
Total magnetization in μB/atom: 2.308
Crystal system: cubic
Calculated volume in Å³/atom: 26.02

abc: 5.067 5.067 5.067
angles: 90.00 90.00 90.00
Sites, in units of the cell vectors:
Y: 0.000 0.000 0.000
Cr: 0.000 0.500 0.500
Cr: 0.500 0.000 0.500
Cr: 0.500 0.500 0.000
Sn: 0.500 0.500 0.500

=====

A plane-wave DFT calculation with PBE-GGA was carried out for a relaxed structure of MnAs.

Summary:
Formation enthalpy at 0 K in eV per atom: -0.014
Total magnetization in μB/atom: 1.285
Crystal system: tetragonal
Calculated volume in Å³/atom: 20.32

abc: 6.311 6.311 6.311
angles: 98.18 98.18 135.69
Sites, in units of the cell vectors:
Mn: 0.109 0.613 0.722
Mn: 0.387 0.109 0.496
Mn: 0.613 0.891 0.504
Mn: 0.891 0.387 0.278
As: 0.180 0.329 0.509
As: 0.329 0.820 0.149
As: 0.671 0.180 0.851
As: 0.820 0.671 0.491

=====

A plane-wave DFT calculation with PBE-GGA was carried out for a relaxed structure of Rb2MgCd4.

Summary:
Formation enthalpy at 0 K in eV per atom: 0.114
Total magnetization in μB/atom: 0.000
Crystal system: tetragonal
Calculated volume in Å³/atom: 42.03

abc: 10.120 10.120 10.120
angles: 147.74 147.74 46.27
Sites, in units of the cell vectors:
Rb: 0.141 0.141 0.000
Rb: 0.859 0.859 0.000
Mg: 0.500 0.500 0.000
Cd: 0.000 0.500 0.500
Cd: 0.346 0.346 0.000
Cd: 0.500 0.000 0.500
Cd: 0.654 0.654 0.000

=====

A plane-wave DFT calculation with PBE-GGA was carried out for a relaxed structure of ZrHOsRh2.

Summary:
Total magnetization in μB/atom: 0.000
Crystal system: tetragonal
Calculated volume in Å³/atom: 12.98

abc: 3.937 3.937 4.186
angles: 90.00 90.00 90.00
Sites, in units of the cell vectors:
Zr: 0.000 0.000 0.000
H: 0.000 0.000 0.500
Os: 0.500 0.500 0.000
Rh: 0.000 0.500 0.500
Rh: 0.500 0.000 0.500

=====

A plane-wave DFT calculation with PBE-GGA was carried out for a relaxed structure of RbBa2VHg.

Summary:
Formation enthalpy at 0 K in eV per atom: 0.424
Total magnetization in μB/atom: 0.894
Crystal system: tetragonal
Calculated volume in Å³/atom: 46.49

abc: 6.483 6.483 5.531
angles: 90.00 90.00 90.00
Sites, in units of the cell vectors:
Rb: 0.000 0.000 0.000
Ba: 0.000 0.500 0.500
Ba: 0.500 0.000 0.500
V: 0.500 0.500 0.500
Hg: 0.500 0.500 0.000

=====

A plane-wave DFT calculation with PBE-GGA was carried out for a relaxed structure of SrAsPt3.

Summary:
Formation enthalpy at 0 K in eV per atom: -0.696
Total magnetization in μB/atom: 0.000
Crystal system: tetragonal
Calculated volume in Å³/atom: 19.74

abc: 6.347 6.347 6.347
angles: 141.41 141.41 55.71
Sites, in units of the cell vectors:
Sr: 0.000 0.000 0.000
As: 0.629 0.629 0.000
Pt: 0.251 0.751 0.500
Pt: 0.416 0.416 0.000
Pt: 0.751 0.251 0.500

=====

A plane-wave DFT calculation with PBE-GGA was carried out for a relaxed structure of CaAcTm2.

Summary:
Formation enthalpy at 0 K in eV per atom: 0.241
Total magnetization in μB/atom: 0.000
Crystal system: trigonal
Calculated volume in Å³/atom: 36.61

abc: 12.925 12.925 12.925
angles: 16.20 16.20 16.20
Sites, in units of the cell vectors:
Ca: 0.000 0.000 0.000
Ac: 0.500 0.500 0.500
Tm: 0.089 0.089 0.089
Tm: 0.911 0.911 0.911

=====

A plane-wave DFT calculation with PBE-GGA was carried out for a relaxed structure of Li5SnHg2.

Summary:
Formation enthalpy at 0 K in eV per atom: -0.380
Total magnetization in μB/atom: 0.000
Crystal system: tetragonal
Calculated volume in Å³/atom: 18.19

abc: 7.285 7.285 7.285
angles: 142.00 142.00 54.83
Sites, in units of the cell vectors:
Li: 0.000 0.000 0.000
Li: 0.125 0.625 0.500
Li: 0.375 0.875 0.500
Li: 0.625 0.125 0.500
Li: 0.875 0.375 0.500
Sn: 0.500 0.500 0.000
Hg: 0.246 0.246 0.000
Hg: 0.754 0.754 0.000

=====

A plane-wave DFT calculation with PBE-GGA was carried out for a relaxed structure of TaRh3Au.

Summary:
Formation enthalpy at 0 K in eV per atom: 0.905
Total magnetization in μB/atom: 0.000
Crystal system: cubic
Calculated volume in Å³/atom: 20.77

abc: 4.701 4.701 4.701
angles: 90.00 90.00 90.00
Sites, in units of the cell vectors:
Ta: 0.000 0.000 0.000
Rh: 0.000 0.000 0.500
Rh: 0.000 0.500 0.000
Rh: 0.500 0.000 0.000
Au: 0.500 0.500 0.500

=====

A plane-wave DFT calculation with PBE-GGA was carried out for a relaxed structure of LiTa2In.

Summary:
Formation enthalpy at 0 K in eV per atom: 0.317
Total magnetization in μB/atom: 0.000
Crystal system: orthorhombic
Calculated volume in Å³/atom: 18.10

abc: 5.526 5.526 5.526
angles: 147.45 126.25 64.26
Sites, in units of the cell vectors:
Li: 0.000 0.000 0.000
Ta: 0.253 0.753 0.500
Ta: 0.496 0.496 0.000
In: 0.772 0.272 0.500

=====

A plane-wave DFT calculation with PBE-GGA was carried out for a relaxed structure of Ce5Te4Se.

Summary:
Total magnetization in μB/atom: 0.547
Crystal system: tetragonal
Uncorrected formation energy in eV/atom: -1.4363
Calculated volume in Å³/atom: 30.79

abc: 7.672 7.672 7.672
angles: 99.65 99.65 131.66
Sites, in units of the cell vectors:
Ce: 0.000 0.000 0.000
Ce: 0.215 0.401 0.616
Ce: 0.401 0.785 0.186
Ce: 0.599 0.215 0.814
Ce: 0.785 0.599 0.384
Te: 0.094 0.696 0.790
Te: 0.304 0.094 0.398
Te: 0.696 0.906 0.602
Te: 0.906 0.304 0.210
Se: 0.500 0.500 0.000

=====

A plane-wave DFT calculation with PBE-GGA was carried out for a relaxed structure of TiNb2AuN.

Summary:
Total magnetization in μB/atom: 0.000
Crystal system: tetragonal
Uncorrected formation energy in eV/atom: -0.6898
Calculated volume in Å³/atom: 15.16

abc: 4.276 4.276 4.145
angles: 90.00 90.00 90.00
Sites, in units of the cell vectors:
Ti: 0.000 0.000 0.000
Nb: 0.000 0.500 0.500
Nb: 0.500 0.000 0.500
Au: 0.500 0.500 0.000
N: 0.000 0.000 0.500

=====

A plane-wave DFT calculation with PBE-GGA was carried out for a relaxed structure of Nd2Fe15Co2.

Summary:
Formation enthalpy at 0 K in eV per atom: 0.043
Total magnetization in μB/atom: 2.044
Crystal system: trigonal
Calculated volume in Å³/atom: 13.86

abc: 6.456 6.456 6.456
angles: 82.86 82.86 82.86
Sites, in units of the cell vectors:
Nd: 0.159 0.159 0.159
Nd: 0.841 0.841 0.841
Fe: 0.000 0.500 0.500
Fe: 0.159 0.159 0.654
Fe: 0.159 0.654 0.159
Fe: 0.209 0.500 0.791
Fe: 0.209 0.791 0.500
Fe: 0.346 0.841 0.841
Fe: 0.500 0.000 0.500
Fe: 0.500 0.209 0.791
Fe: 0.500 0.500 0.000
Fe: 0.500 0.791 0.209
Fe: 0.654 0.159 0.159
Fe: 0.791 0.209 0.500
Fe: 0.791 0.500 0.209
Fe: 0.841 0.346 0.841
Fe: 0.841 0.841 0.346
Co: 0.407 0.407 0.407
Co: 0.593 0.593 0.593

=====

A plane-wave DFT calculation with PBE-GGA was carried out for a relaxed structure of HfMn2Ru2.

Summary:
Formation enthalpy at 0 K in eV per atom: 0.057
Total magnetization in μB/atom: 0.313
Crystal system: tetragonal
Calculated volume in Å³/atom: 14.34

abc: 7.245 7.245 2.732
angles: 90.00 90.00 90.00
Sites, in units of the cell vectors:
Hf: 0.000 0.000 0.000
Hf: 0.500 0.500 0.000
Mn: 0.168 0.332 0.500
Mn: 0.332 0.832 0.500
Mn: 0.668 0.168 0.500
Mn: 0.832 0.668 0.500
Ru: 0.129 0.629 0.000
Ru: 0.371 0.129 0.000
Ru: 0.629 0.871 0.000
Ru: 0.871 0.371 0.000

=====

A plane-wave DFT calculation with PBE-GGA was carried out for a relaxed structure of Li4Dy3YS8.

Summary:
Total magnetization in μB/atom: 0.000
Crystal system: trigonal
Uncorrected formation energy in eV/atom: -1.8507
Calculated volume in Å³/atom: 20.50

abc: 7.656 7.656 7.656
angles: 61.50 61.50 61.50
Sites, in units of the cell vectors:
Li: 0.000 0.000 0.000
Li: 0.000 0.500 0.500
Li: 0.500 0.000 0.500
Li: 0.500 0.500 0.000
Dy: 0.000 0.000 0.500
Dy: 0.000 0.500 0.000
Dy: 0.500 0.000 0.000
Y: 0.500 0.500 0.500
S: 0.250 0.250 0.250
S: 0.250 0.250 0.750
S: 0.250 0.750 0.250
S: 0.250 0.750 0.750
S: 0.750 0.250 0.250
S: 0.750 0.250 0.750
S: 0.750 0.750 0.250
S: 0.750 0.750 0.750

=====

A plane-wave DFT calculation with PBE-GGA was carried out for a relaxed structure of TbSmDy2Bi5.

Summary:
Formation enthalpy at 0 K in eV per atom: 0.096
Total magnetization in μB/atom: 0.000
Crystal system: tetragonal
Calculated volume in Å³/atom: 40.01

abc: 5.498 5.498 11.912
angles: 90.00 90.00 90.00
Sites, in units of the cell vectors:
Tb: 0.000 0.000 0.000
Sm: 0.000 0.000 0.500
Dy: 0.500 0.500 0.269
Dy: 0.500 0.500 0.731
Bi: 0.000 0.000 0.244
Bi: 0.000 0.000 0.756
Bi: 0.000 0.500 0.500
Bi: 0.500 0.000 0.500
Bi: 0.500 0.500 0.000

=====

Calculated total energy across the listed records, respectively: -0.11095 -0.09707 -0.16027 -0.19131 -0.24880 -0.25442 -0.03356 -0.29060 -0.08902 -0.20530 -0.12944 -0.07908 -0.24003 -0.24887 -0.22080 -0.31668 -0.28989 -0.34220 -0.20799 -0.15147 Ha/atom.